## Ca2SbPt (SCAN)

Data for a crystal of Ca2SbPt relaxed with PBEsol.

Lattice parameters (Å, degrees): 3.443 4.850 6.188 90.00 90.00 90.00
Fractional coordinates of all 4 atoms:
Sb: 0.500 0.500 0.818
Ca: 0.000 0.000 0.947
Ca: 0.500 0.500 0.330
Pt: 0.000 0.000 0.404

Results
For the raw formation energy, the calculation gives -2.77 eV/f.u. Its density of states at the Fermi level is 0.71 states/eV per cell.